Compound: Na2NdCdBi2
Source: Alexandria via LeMat-Bulk
Functional: PBE
Structure: relaxed

## Properties
calculated density	6.64	g/cm3
ΔH_f (0 K)	-0.4403	eV per atom
E_tot	-37.450	eV for the cell shown

a b c (Å): 4.974 7.527 9.621
angles (deg): 90.00 90.00 90.00
Fractional positions:
Cd: 0.500 0.173 0.672
Cd: 0.500 0.673 0.328
Na: 0.500 0.532 0.949
Nd: 0.000 0.488 0.526
Na: 0.000 0.830 0.844
Bi: 0.000 0.268 0.825
Na: 0.000 0.330 0.156
Nd: 0.000 0.988 0.474
Na: 0.500 0.032 0.051
Bi: 0.500 0.755 0.644
Bi: 0.000 0.768 0.175
Bi: 0.500 0.255 0.356